[1]
Material: Pr2HoTl4
Method: DFT, PBE-GGA
State: optimized geometry

a = 8.533 Å, b = 8.533 Å, c = 8.533 Å
α = 143.53°, β = 143.53°, γ = 52.53°
Sites, in units of the cell vectors:
Pr 0.249 0.249 0.000
Pr 0.751 0.751 0.000
Ho 0.500 0.500 0.000
Tl 0.110 0.610 0.500
Tl 0.390 0.890 0.500
Tl 0.610 0.110 0.500
Tl 0.890 0.390 0.500

Properties
The calculation puts the energy relative to the lowest polymorph listed for this composition at 0.0 kJ per mole of atoms. Its crystal system is tetragonal. Its space-group type is I4/mmm, No. 139.

[2]
Material: Pr2Ho2Tl5
Method: DFT, PBE-GGA
State: optimized geometry

a = 9.267 Å, b = 9.267 Å, c = 8.160 Å
α = 90.00°, β = 90.00°, γ = 51.91°
Sites, in units of the cell vectors:
Pr 0.201 0.201 0.000
Pr 0.299 0.299 0.500
Pr 0.701 0.701 0.500
Pr 0.799 0.799 0.000
Ho 0.155 0.845 0.657
Ho 0.345 0.655 0.157
Ho 0.655 0.345 0.843
Ho 0.845 0.155 0.343
Tl 0.000 0.000 0.000
Tl 0.016 0.726 0.358
Tl 0.226 0.516 0.858
Tl 0.274 0.984 0.358
Tl 0.484 0.774 0.858
Tl 0.500 0.500 0.500
Tl 0.516 0.226 0.142
Tl 0.726 0.016 0.642
Tl 0.774 0.484 0.142
Tl 0.984 0.274 0.642

Properties
Its crystal system is orthorhombic. Its space-group type is Cmce, No. 64.

[3]
Material: Pr4Ho15Tl
Method: DFT, PBE-GGA
State: optimized geometry

a = 4.993 Å, b = 4.993 Å, c = 25.252 Å
α = 90.00°, β = 90.00°, γ = 90.00°
Sites, in units of the cell vectors:
Pr 0.000 0.000 0.101
Pr 0.000 0.000 0.302
Pr 0.000 0.000 0.698
Pr 0.000 0.000 0.899
Ho 0.000 0.500 0.000
Ho 0.000 0.500 0.202
Ho 0.000 0.500 0.404
Ho 0.000 0.500 0.596
Ho 0.000 0.500 0.798
Ho 0.500 0.000 0.000
Ho 0.500 0.000 0.202
Ho 0.500 0.000 0.404
Ho 0.500 0.000 0.596
Ho 0.500 0.000 0.798
Ho 0.500 0.500 0.102
Ho 0.500 0.500 0.306
Ho 0.500 0.500 0.500
Ho 0.500 0.500 0.694
Ho 0.500 0.500 0.898
Tl 0.000 0.000 0.500

Properties
Its crystal system is tetragonal. Its space-group type is P4/mmm, No. 123.

[4]
Material: Pr3Ho2Tl2
Method: DFT, PBE-GGA
State: optimized geometry

a = 5.558 Å, b = 5.558 Å, c = 8.774 Å
α = 108.55°, β = 108.55°, γ = 60.10°
Sites, in units of the cell vectors:
Pr 0.000 0.000 0.000
Pr 0.157 0.157 0.472
Pr 0.843 0.843 0.528
Ho 0.426 0.426 0.280
Ho 0.574 0.574 0.720
Tl 0.288 0.288 0.862
Tl 0.712 0.712 0.138

Properties
The calculation puts the energy relative to the lowest polymorph listed for this composition at 0.0 kJ per mole of atoms. Its crystal system is monoclinic. Its space-group type is C2/m, No. 12.

| no. | formation energy (eV per atom) |
| --- | --- |
| 1 | -0.2408 |
| 2 | -0.2346 |
| 3 | -0.0084 |
| 4 | -0.1878 |